--- w ---
DFT (GGA-PBE) results for an optimized crystal structure of PuPaPt.

Properties
Calculated density = 17949 kg/m3

```
data_PuPaPt
_cell_length_a 3.298
_cell_length_b 3.298
_cell_length_c 22.803
_cell_angle_alpha 90.00
_cell_angle_beta 90.00
_cell_angle_gamma 90.00
_symmetry_space_group_name_H-M 'I 4/m m m'
_symmetry_Int_Tables_number 139
_symmetry_space_group_name_Hall '-I 4 2'
loop_
_atom_site_label
_atom_site_fract_x
_atom_site_fract_y
_atom_site_fract_z
Pu1 0.000 0.000 0.230
Pa1 0.000 0.000 0.061
Pt1 0.000 0.000 0.364
```

---

--- x ---
DFT (GGA-PBE) results for an optimized crystal structure of PuPaPt.

Properties
Calculated density = 18258 kg/m3

```
data_PuPaPt
_cell_length_a 4.9115
_cell_length_b 4.9115
_cell_length_c 2.9173
_cell_angle_alpha 90.00
_cell_angle_beta 90.00
_cell_angle_gamma 120.00
_symmetry_space_group_name_H-M 'P -6 m 2'
_symmetry_Int_Tables_number 187
_symmetry_space_group_name_Hall 'P -6 2'
loop_
_atom_site_label
_atom_site_fract_x
_atom_site_fract_y
_atom_site_fract_z
Pu1 0.0000 0.0000 0.0000
Pa1 0.6667 0.3333 0.0000
Pt1 0.3333 0.6667 0.5000
```

---

--- y ---
DFT (GGA-PBE) results for an optimized crystal structure of PuPaPt.

Properties
Calculated density = 17605 kg/m3

```
data_PuPaPt
_cell_length_a 13.766
_cell_length_b 3.455
_cell_length_c 5.354
_cell_angle_alpha 90.00
_cell_angle_beta 96.84
_cell_angle_gamma 90.00
_symmetry_space_group_name_H-M 'C 1 m 1'
_symmetry_Int_Tables_number 8
loop_
_symmetry_equiv_pos_as_xyz
'x,y,z'
'x,-y,z'
'x+1/2,y+1/2,z'
'x+1/2,-y+1/2,z'
loop_
_atom_site_label
_atom_site_fract_x
_atom_site_fract_y
_atom_site_fract_z
Pu1 0.000 0.000 0.000
Pu2 0.180 0.000 0.529
Pa1 0.021 0.500 0.511
Pa2 0.339 0.000 0.973
Pt1 0.175 0.500 0.044
Pt2 0.354 0.500 0.456
```

---

--- z ---
DFT (GGA-PBE) results for an optimized crystal structure of PuPaPt.

Properties
Calculated density = 17092 kg/m3

```
data_PuPaPt
_cell_length_a 3.628
_cell_length_b 3.628
_cell_length_c 9.892
_cell_angle_alpha 90.00
_cell_angle_beta 90.00
_cell_angle_gamma 90.00
_symmetry_space_group_name_H-M 'I 4 m m'
_symmetry_Int_Tables_number 107
_symmetry_space_group_name_Hall 'I 4 -2'
loop_
_atom_site_label
_atom_site_fract_x
_atom_site_fract_y
_atom_site_fract_z
Pu1 0.000 0.000 0.000
Pa1 0.000 0.000 0.328
Pt1 0.000 0.000 0.674
```

---

Most favorable structure: y. The second most favorable one is 0.014 eV/atom above it.